# 1
This record from Alexandria via LeMat-Bulk describes a relaxed ReMoN2 crystal. The functional is PBE-GGA.

The raw formation energy comes out at 0.79 eV per atom. The total magnetization comes out at 0.0 μB per formula unit. As for the volume: 39.8 Å³/f.u. Its total energy is -147.10 eV/cell. The calculation puts the density of states at the Fermi level at 1.103 states/eV/atom. The energy above the most stable polymorph in this dataset is 679 meV per atom.

The space group is Fm-3m (No. 225) and the conventional cell measures 5.420, 5.420 and 5.420 Å, with angles of 90.00, 90.00 and 90.00 degrees. The asymmetric unit holds Re at (0.000, 0.000, 0.000), Mo at (0.000, 0.000, 0.500) and N at (0.250, 0.250, 0.250).

# 2
This record from Alexandria via LeMat-Bulk describes a relaxed Re3MoN crystal. The functional is PBE-GGA.

The raw formation energy comes out at 3.52 eV per atom. The total magnetization comes out at 0.0 μB per formula unit. As for the volume: 102.3 Å³/f.u. Its total energy is -38.92 eV/cell. The calculation puts the density of states at the Fermi level at 1.288 states/eV/atom. The energy above the most stable polymorph in this dataset is 3307 meV per atom.

The space group is Pm-3m (No. 221) and the conventional cell measures 4.677, 4.677 and 4.677 Å, with angles of 90.00, 90.00 and 90.00 degrees. The asymmetric unit holds Re at (0.000, 0.000, 0.500), Mo at (0.000, 0.000, 0.000) and N at (0.500, 0.500, 0.500).

# 3
This record from Alexandria via LeMat-Bulk describes a relaxed Re3MoN crystal. The functional is PBE-GGA.

The raw formation energy comes out at 0.21 eV per atom. The total magnetization comes out at 0.0 μB per formula unit. As for the volume: 67.6 Å³/f.u. Its total energy is -55.46 eV/cell. The calculation puts the density of states at the Fermi level at 0.802 states/eV/atom. The energy above the most stable polymorph in this dataset is 0 meV per atom.

The space group is Pm-3m (No. 221) and the conventional cell measures 4.074, 4.074 and 4.074 Å, with angles of 90.00, 90.00 and 90.00 degrees. The asymmetric unit holds Re at (0.000, 0.000, 0.500), Mo at (0.500, 0.500, 0.500) and N at (0.000, 0.000, 0.000).

# 4
This record from Alexandria via LeMat-Bulk describes a relaxed ReMoN2 crystal. The functional is PBE-GGA.

The raw formation energy comes out at 0.15 eV per atom. The total magnetization comes out at 0.0 μB per formula unit. As for the volume: 46.1 Å³/f.u. Its total energy is -118.05 eV/cell. The calculation puts the density of states at the Fermi level at 0.947 states/eV/atom. The energy above the most stable polymorph in this dataset is 35 meV per atom.

The space group is R-3m (No. 166, hexagonal axes) and the conventional cell measures 2.8298, 2.8298 and 19.9589 Å, with angles of 90.00, 90.00 and 120.00 degrees. The asymmetric unit holds Re at (0.0000, 0.0000, 0.0000), Mo at (0.0000, 0.0000, 0.5000) and N at (0.0000, 0.0000, 0.0994).

# 5
This record from Alexandria via LeMat-Bulk describes a relaxed ReMoN2 crystal. The functional is PBE-GGA.

The raw formation energy comes out at 0.11 eV per atom. The total magnetization comes out at 0.2 μB per formula unit. As for the volume: 47.8 Å³/f.u. Its total energy is -157.96 eV/cell. The calculation puts the density of states at the Fermi level at 0.596 states/eV/atom. The energy above the most stable polymorph in this dataset is 0 meV per atom.

The space group is I-42d (No. 122) and the conventional cell measures 4.113, 4.113 and 11.315 Å, with angles of 90.00, 90.00 and 90.00 degrees. The asymmetric unit holds Re at (0.000, 0.000, 0.000), Mo at (0.000, 0.000, 0.500) and N at (0.240, 0.250, 0.125).

# 6
This record from Alexandria via LeMat-Bulk describes a relaxed ReMo3N crystal. The functional is PBE-GGA.

The raw formation energy comes out at 2.80 eV per atom. The total magnetization comes out at 0.2 μB per formula unit. As for the volume: 105.6 Å³/f.u. Its total energy is -39.28 eV/cell. The calculation puts the density of states at the Fermi level at 1.167 states/eV/atom. The energy above the most stable polymorph in this dataset is 2838 meV per atom.

The space group is Pm-3m (No. 221) and the conventional cell measures 4.726, 4.726 and 4.726 Å, with angles of 90.00, 90.00 and 90.00 degrees. The asymmetric unit holds Re at (0.000, 0.000, 0.000), Mo at (0.000, 0.000, 0.500) and N at (0.500, 0.500, 0.500).